This record from OQMD via LeMat-Bulk describes crystalline MgPaTe at its relaxed geometry. The functional is PBE-GGA.

Values from the calculation:
Space-group type: No. 216
M_tot, μB/f.u.: 2.4
VASP energy, eV/cell: -13.26
Offset from the most stable computed form, meV per atom: 108

```
MgPaTe
1.0
0.000 3.628 3.628
3.628 0.000 3.628
3.628 3.628 0.000
Mg Pa Te
1 1 1
Direct
0.000 0.000 0.000
0.250 0.250 0.250
0.500 0.500 0.500
```

This record from OQMD via LeMat-Bulk describes crystalline MgPaTe at its relaxed geometry. The functional is PBE-GGA.

Values from the calculation:
Space-group type: No. 216
M_tot, μB/f.u.: 0.9
VASP energy, eV/cell: -13.58
Offset from the most stable computed form, meV per atom: 0

```
MgPaTe
1.0
0.000 3.535 3.535
3.535 0.000 3.535
3.535 3.535 0.000
Mg Pa Te
1 1 1
Direct
0.000 0.000 0.000
0.500 0.500 0.500
0.250 0.250 0.250
```